PBE MgTePbI2, relaxed; M_tot = 0.0 μB/cell; mass density = 5.676 Mg/m³; energy above the lowest structure with this stoichiometry = 0 meV/atom; D(E_F) = 0.025 states/eV per atom; E = -2.6513 eV/atom
1.0
5.531 0.000 0.000
0.000 5.531 0.000
0.000 0.000 5.861
Mg Te Pb I
1 1 1 2
direct
0.000 0.000 0.000 Mg
0.000 0.000 0.500 Te
0.500 0.500 0.500 Pb
0.000 0.500 0.000 I
0.500 0.000 0.000 I

***

PBE MgTe2PbI, relaxed; M_tot = 0.0 μB/cell; mass density = 5.921 Mg/m³; energy above the lowest structure with this stoichiometry = 0 meV/atom; D(E_F) = 0.905 states/eV per atom; E = -2.7891 eV/atom
1.0
5.535 0.000 0.000
0.000 5.535 0.000
0.000 0.000 5.617
Mg Te Pb I
1 2 1 1
direct
0.000 0.000 0.000 Mg
0.000 0.500 0.000 Te
0.500 0.000 0.000 Te
0.500 0.500 0.500 Pb
0.000 0.000 0.500 I

***

PBE MgTe2PbI, relaxed; M_tot = 0.0 μB/cell; mass density = 4.843 Mg/m³; energy above the lowest structure with this stoichiometry = 414 meV/atom; D(E_F) = 0.534 states/eV per atom; E = -2.3756 eV/atom
1.0
5.896 0.000 0.000
0.000 5.896 0.000
0.000 0.000 6.052
Mg Te Pb I
1 2 1 1
direct
0.000 0.000 0.000 Mg
0.000 0.500 0.500 Te
0.500 0.000 0.500 Te
0.500 0.500 0.500 Pb
0.500 0.500 0.000 I

***

Q: What is the formula in the second record?
A: MgTe2PbI